Record 1
# Sc2TlI6 (GGA-PBE, optimized geometry)
# - symmetry = P-31m
# - V (Å³/cell) = 385
# - spin magnetization (Bohr magnetons per cell) = 1.06
# - density (Mg/m³) = 4.5
# - ΔE_f (raw) (eV per atom) = -1.053
data_Sc2TlI6
_chemical_formula_sum 'Sc2 Tl1 I6'
_space_group_name_H-M_alt 'P 1'
_space_group_IT_number 1
_cell_length_a 7.9821
_cell_length_b 7.4669
_cell_length_c 7.4669
_cell_angle_alpha 120.00
_cell_angle_beta 90.00
_cell_angle_gamma 90.00
loop_
_space_group_symop_operation_xyz
'x,y,z'
loop_
_atom_site_label
_atom_site_type_symbol
_atom_site_fract_x
_atom_site_fract_y
_atom_site_fract_z
Sc1 Sc 0.5000 0.6667 0.3333
Sc2 Sc 0.5000 0.3333 0.6667
Tl1 Tl 0.0000 0.0000 0.0000
I1 I 0.7138 0.6390 0.6390
I2 I 0.2862 0.6390 0.0000
I3 I 0.2862 0.0000 0.6390
I4 I 0.7138 0.3610 0.0000
I5 I 0.2862 0.3610 0.3610
I6 I 0.7138 0.0000 0.3610

---

Record 2
# MgSiTe2I (GGA-PBE, optimized geometry)
# - symmetry = P4/mmm
# - V (Å³/cell) = 156
# - spin magnetization (Bohr magnetons per cell) = 0.00
# - energy relative to the lowest polymorph listed for this composition (eV/f.u.) = 0.00
# - density (Mg/m³) = 4.6
# - ΔE_f (raw) (eV per atom) = 0.192
data_MgSiTe2I
_chemical_formula_sum 'Mg1 Si1 Te2 I1'
_space_group_name_H-M_alt 'P 1'
_space_group_IT_number 1
_cell_length_a 5.3436
_cell_length_b 5.3436
_cell_length_c 5.4802
_cell_angle_alpha 90.00
_cell_angle_beta 90.00
_cell_angle_gamma 90.00
loop_
_space_group_symop_operation_xyz
'x,y,z'
loop_
_atom_site_label
_atom_site_type_symbol
_atom_site_fract_x
_atom_site_fract_y
_atom_site_fract_z
I1 I 0.0000 0.0000 0.5000
Si1 Si 0.0000 0.0000 0.0000
Te1 Te 0.0000 0.5000 0.0000
Te2 Te 0.5000 0.0000 0.0000
Mg1 Mg 0.5000 0.5000 0.5000

---

Record 3
# Pr4POsI2 (GGA-PBE, optimized geometry)
# - symmetry = P2/m
# - V (Å³/cell) = 254
# - spin magnetization (Bohr magnetons per cell) = 0.00
# - density (Mg/m³) = 6.8
# - ΔE_f (raw) (eV per atom) = -0.929
data_Pr4POsI2
_chemical_formula_sum 'Pr4 P1 Os1 I2'
_space_group_name_H-M_alt 'P 1'
_space_group_IT_number 1
_cell_length_a 4.2128
_cell_length_b 7.5821
_cell_length_c 8.2706
_cell_angle_alpha 105.95
_cell_angle_beta 90.00
_cell_angle_gamma 90.00
loop_
_space_group_symop_operation_xyz
'x,y,z'
loop_
_atom_site_label
_atom_site_type_symbol
_atom_site_fract_x
_atom_site_fract_y
_atom_site_fract_z
Pr1 Pr 0.5000 0.2421 0.1837
Pr2 Pr 0.5000 0.7579 0.8163
Pr3 Pr 0.0000 0.2789 0.8123
Pr4 Pr 0.0000 0.7211 0.1877
P1 P 0.0000 0.0000 0.0000
Os1 Os 0.5000 0.5000 0.0000
I1 I 0.5000 0.0000 0.5000
I2 I 0.0000 0.5000 0.5000

---

Record 4
# ZrUTc4 (GGA-PBE, optimized geometry)
# - calculated formation energy (eV/atom) = -0.041
# - symmetry = F-43m
# - V (Å³/cell) = 106
# - spin magnetization (Bohr magnetons per cell) = 1.13
# - density (Mg/m³) = 11.3
data_ZrUTc4
_chemical_formula_sum 'Zr1 U1 Tc4'
_space_group_name_H-M_alt 'P 1'
_space_group_IT_number 1
_cell_length_a 5.3167
_cell_length_b 5.3167
_cell_length_c 5.3167
_cell_angle_alpha 60.00
_cell_angle_beta 60.00
_cell_angle_gamma 60.00
loop_
_space_group_symop_operation_xyz
'x,y,z'
loop_
_atom_site_label
_atom_site_type_symbol
_atom_site_fract_x
_atom_site_fract_y
_atom_site_fract_z
U1 U 0.2500 0.2500 0.2500
Tc1 Tc 0.6256 0.6256 0.1231
Tc2 Tc 0.6256 0.1231 0.6256
Tc3 Tc 0.6256 0.6256 0.6256
Tc4 Tc 0.1231 0.6256 0.6256
Zr1 Zr 0.0000 0.0000 0.0000

---

Record 5
# V3FeOs (GGA-PBE, optimized geometry)
# - calculated formation energy (eV/atom) = 0.850
# - symmetry = Pm-3m
# - V (Å³/cell) = 74
# - spin magnetization (Bohr magnetons per cell) = 0.00
# - energy relative to the lowest polymorph listed for this composition (eV/f.u.) = 3.24
# - density (Mg/m³) = 8.9
data_V3FeOs
_chemical_formula_sum 'V3 Fe1 Os1'
_space_group_name_H-M_alt 'P 1'
_space_group_IT_number 1
_cell_length_a 4.2062
_cell_length_b 4.2062
_cell_length_c 4.2062
_cell_angle_alpha 90.00
_cell_angle_beta 90.00
_cell_angle_gamma 90.00
loop_
_space_group_symop_operation_xyz
'x,y,z'
loop_
_atom_site_label
_atom_site_type_symbol
_atom_site_fract_x
_atom_site_fract_y
_atom_site_fract_z
Os1 Os 0.5000 0.5000 0.5000
Fe1 Fe 0.0000 0.0000 0.0000
V1 V 0.0000 0.5000 0.0000
V2 V 0.0000 0.0000 0.5000
V3 V 0.5000 0.0000 0.0000

---

Record 6
# FeAgH3 (GGA-PBE, optimized geometry)
# - symmetry = Pm-3m
# - V (Å³/cell) = 46
# - spin magnetization (Bohr magnetons per cell) = 2.96
# - energy relative to the lowest polymorph listed for this composition (eV/f.u.) = 2.46
# - density (Mg/m³) = 6.1
data_FeAgH3
_chemical_formula_sum 'Fe1 Ag1 H3'
_space_group_name_H-M_alt 'P 1'
_space_group_IT_number 1
_cell_length_a 3.5733
_cell_length_b 3.5733
_cell_length_c 3.5733
_cell_angle_alpha 90.00
_cell_angle_beta 90.00
_cell_angle_gamma 90.00
loop_
_space_group_symop_operation_xyz
'x,y,z'
loop_
_atom_site_label
_atom_site_type_symbol
_atom_site_fract_x
_atom_site_fract_y
_atom_site_fract_z
H1 H 0.0000 0.5000 0.0000
H2 H 0.0000 0.0000 0.5000
H3 H 0.5000 0.0000 0.0000
Fe1 Fe 0.5000 0.5000 0.5000
Ag1 Ag 0.0000 0.0000 0.0000

---

Q: Among the records above, which one has the lowest V?
A: FeAgH3

---

Q: Which value of V does entry 1 give?
A: 385 Å³/cell

---

Q: Which value of density does entry 2 give?
A: 4.6 Mg/m³